Density functional theory data (GGA-PBE) for a geometry-optimized K2CuAgIr structure.

abc: 6.238 6.238 4.901
angles: 90.00 90.00 90.00
Sites, in units of the cell vectors:
K 0.000 0.500 0.000
K 0.500 0.000 0.000
Cu 0.000 0.000 0.500
Ag 0.000 0.000 0.000
Ir 0.500 0.500 0.500

Results
DFT formation energy = 1.139 eV per atom
M_tot = 0.367 μB per atom
space-group type = P4/mmm, No. 123
DOS at the Fermi energy = 1.1 states/eV per cell

Density functional theory data (GGA-PBE) for a geometry-optimized Ca11Hg9Au4 structure.

abc: 13.474 13.474 3.773
angles: 90.00 90.00 113.31
Sites, in units of the cell vectors:
Ca 0.000 0.000 0.000
Ca 0.073 0.414 0.000
Ca 0.166 0.834 0.000
Ca 0.283 0.283 0.000
Ca 0.359 0.641 0.000
Ca 0.414 0.073 0.000
Ca 0.586 0.927 0.000
Ca 0.641 0.359 0.000
Ca 0.717 0.717 0.000
Ca 0.834 0.166 0.000
Ca 0.927 0.586 0.000
Hg 0.055 0.210 0.500
Hg 0.145 0.629 0.500
Hg 0.210 0.055 0.500
Hg 0.371 0.855 0.500
Hg 0.500 0.500 0.500
Hg 0.629 0.145 0.500
Hg 0.790 0.945 0.500
Hg 0.855 0.371 0.500
Hg 0.945 0.790 0.500
Au 0.257 0.450 0.500
Au 0.450 0.257 0.500
Au 0.550 0.743 0.500
Au 0.743 0.550 0.500

Results
DFT formation energy = -0.598 eV per atom
M_tot = 0.000 μB per atom
space-group type = Cmmm, No. 65
DOS at the Fermi energy = 14.7 states/eV per cell

Density functional theory data (GGA-PBE) for a geometry-optimized Li12Mg7In structure.

abc: 8.884 8.884 8.884
angles: 109.47 109.47 109.47
Sites, in units of the cell vectors:
Li 0.106 0.356 0.750
Li 0.250 0.606 0.356
Li 0.250 0.894 0.644
Li 0.356 0.250 0.606
Li 0.356 0.750 0.106
Li 0.394 0.644 0.750
Li 0.606 0.356 0.250
Li 0.644 0.250 0.894
Li 0.644 0.750 0.394
Li 0.750 0.106 0.356
Li 0.750 0.394 0.644
Li 0.894 0.644 0.250
Mg 0.000 0.000 0.500
Mg 0.000 0.500 0.000
Mg 0.000 0.500 0.500
Mg 0.500 0.000 0.000
Mg 0.500 0.000 0.500
Mg 0.500 0.500 0.000
Mg 0.500 0.500 0.500
In 0.000 0.000 0.000

Results
distance to the lowest polymorph of the same formula = 0.310 eV per atom
DFT formation energy = 0.290 eV per atom
M_tot = 0.000 μB per atom
space-group type = Im-3, No. 204
DOS at the Fermi energy = 5.0 states/eV per cell

Density functional theory data (GGA-PBE) for a geometry-optimized Ca4SbP structure.

abc: 5.009 5.009 7.201
angles: 90.00 90.00 90.00
Sites, in units of the cell vectors:
Ca 0.000 0.500 0.230
Ca 0.000 0.500 0.770
Ca 0.500 0.000 0.230
Ca 0.500 0.000 0.770
Sb 0.000 0.000 0.500
P 0.500 0.500 0.000

Results
distance to the lowest polymorph of the same formula = 0.000 eV per atom
formation energy from raw total energies = -0.8299 eV per atom
M_tot = 0.000 μB per atom
space-group type = P4/mmm, No. 123
DOS at the Fermi energy = 2.7 states/eV per cell

Density functional theory data (GGA-PBE) for a geometry-optimized AgSeI3 structure.

abc: 4.435 7.799 12.505
angles: 91.27 90.22 91.36
Sites, in units of the cell vectors:
Ag 0.247 0.397 0.056
Ag 0.753 0.603 0.944
Se 0.188 0.920 0.538
Se 0.812 0.080 0.462
I 0.223 0.648 0.402
I 0.261 0.766 0.045
I 0.273 0.317 0.279
I 0.727 0.683 0.721
I 0.739 0.234 0.955
I 0.777 0.352 0.598

Results
distance to the lowest polymorph of the same formula = 0.000 eV per atom
formation energy from raw total energies = -0.0535 eV per atom
M_tot = 0.000 μB per atom
space-group type = P-1, No. 2
DOS at the Fermi energy = 4.3 states/eV per cell

Density functional theory data (GGA-PBE) for a geometry-optimized ZrSiBP2 structure.

abc: 4.982 4.982 5.155
angles: 90.00 90.00 90.00
Sites, in units of the cell vectors:
Zr 0.000 0.000 0.000
Si 0.000 0.000 0.500
B 0.500 0.500 0.500
P 0.000 0.500 0.000
P 0.500 0.000 0.000

Results
formation energy from raw total energies = 1.4257 eV per atom
M_tot = 0.000 μB per atom
space-group type = P4/mmm, No. 123
DOS at the Fermi energy = 4.0 states/eV per cell

- What is the formula in the fourth record?
  Ca4SbP